A plane-wave DFT calculation with SCAN was carried out for a PBEsol-optimized structure of ScCrSb2.

a = 4.9616 Å, b = 4.9616 Å, c = 4.9616 Å
α = 60.00°, β = 60.00°, γ = 60.00°
Closest atoms and distances in Å follow each position.
Positions (direct):
Sc: 0.0000 0.0000 0.0000  4 Cr 3.04, 4 Sb 3.04
Cr: 0.7500 0.7500 0.7500  4 Sb 3.04, 4 Sc 3.04
Sb: 0.2500 0.2500 0.2500  4 Sb 3.04, 4 Sc 3.04
Sb: 0.5000 0.5000 0.5000  4 Cr 3.04, 4 Sb 3.04

Values from the calculation:
formation energy without anion corrections: 47 meV per atom
E above lowest polymorph: 377 meV per atom
magnetic moment: 4.05 μB per cell
DFT total energy: -1.9652 Ry per atom